Entry 1:
A plane-wave DFT calculation with GGA-PBE was carried out for an optimized crystal structure of ScCu2Re.

POSCAR file:
```
ScCu2Re
1.0
2.761 -3.794 0.000
2.761 3.794 0.000
0.000 0.000 2.782
Sc Cu Re
1 2 1
Direct
0.000 0.000 0.000 Sc
0.000 0.500 0.500 Cu
0.500 0.000 0.500 Cu
0.500 0.500 0.000 Re
```

Calculated values
ρ, g/cm³: 10.208
VASP energy, eV/cell: -26.60
Relative energy among the computed polymorphs, eV/atom: 0.000
E_form, eV per formula unit: 0.37
SG: No. 65

=====

Entry 2:
A plane-wave DFT calculation with GGA-PBE was carried out for an optimized crystal structure of BePd2S.

POSCAR file:
```
BePd2S
1.0
-1.959 1.959 7.748
1.959 -1.959 7.748
1.959 1.959 -7.748
Be Pd S
2 4 2
Direct
0.000 0.000 0.000 Be
0.750 0.250 0.500 Be
0.125 0.625 0.000 Pd
0.375 0.375 0.500 Pd
0.625 0.125 0.000 Pd
0.875 0.875 0.500 Pd
0.250 0.750 0.500 S
0.500 0.500 0.000 S
```

Calculated values
ρ, g/cm³: 7.090
VASP energy, eV/cell: -37.13
Relative energy among the computed polymorphs, eV/atom: 0.000
Energy relative to the elements, uncorrected, eV per atom: -0.081
SG: No. 122

=====

Entry 3:
A plane-wave DFT calculation with GGA-PBE was carried out for an optimized crystal structure of Zn2CrPt.

POSCAR file:
```
Zn2CrPt
1.0
2.825 0.000 0.000
0.000 3.725 0.000
0.000 0.000 5.602
Zn Cr Pt
2 1 1
Direct
0.000 0.000 0.000 Zn
0.500 0.500 0.250 Zn
0.000 0.000 0.500 Cr
0.500 0.500 0.752 Pt
```

Calculated values
ρ, g/cm³: 10.648
VASP energy, eV/cell: -18.65
E_form, eV per formula unit: -0.44
SG: No. 25